Entry 1:
This record from Alexandria describes crystalline La2NdPu3Te6 at its relaxed geometry. The functional is PBE.

Output
The value obtained for the formation energy without anion corrections is -1.324 eV per atom. As for the electronic total energy: -7.70 eV/atom. The value obtained for the size of the total moment is 17.861 μB/f.u.

Cell and atoms, written as CIF:
```
data_La2NdPu3Te6
_chemical_formula_sum 'La4 Nd2 Pu6 Te12'
_symmetry_space_group_name_H-M 'C 1 2/m 1'
_symmetry_Int_Tables_number 12
_symmetry_space_group_name_Hall '-C 2y'
_cell_length_a 19.646
_cell_length_b 4.479
_cell_length_c 9.019
_cell_angle_alpha 90.00
_cell_angle_beta 103.92
_cell_angle_gamma 90.00
loop_
_atom_site_label
_atom_site_type_symbol
_atom_site_fract_x
_atom_site_fract_y
_atom_site_fract_z
La1 La 0.165 0.000 0.331
Nd1 Nd 0.000 0.500 0.000
Pu1 Pu 0.000 0.500 0.500
Pu2 Pu 0.167 0.000 0.834
Te1 Te 0.003 0.000 0.748
Te2 Te 0.165 0.500 0.589
Te3 Te 0.168 0.500 0.076
```

Entry 2:
This record from Alexandria describes crystalline LaNdYPu at its relaxed geometry. The functional is PBE.

Output
The calculated formation energy is 0.209 eV/atom. As for the electronic total energy: -7.41 eV/atom. The value obtained for the size of the total moment is 7.685 μB/f.u.

Cell and atoms, written as CIF:
```
data_LaNdYPu
_chemical_formula_sum 'La4 Nd4 Y4 Pu4'
_symmetry_space_group_name_H-M 'F -4 3 m'
_symmetry_Int_Tables_number 216
_symmetry_space_group_name_Hall 'F -4 2 3'
_cell_length_a 8.099
_cell_length_b 8.099
_cell_length_c 8.099
_cell_angle_alpha 90.00
_cell_angle_beta 90.00
_cell_angle_gamma 90.00
loop_
_atom_site_label
_atom_site_type_symbol
_atom_site_fract_x
_atom_site_fract_y
_atom_site_fract_z
La1 La 0.000 0.000 0.000
Nd1 Nd 0.000 0.000 0.500
Y1 Y 0.250 0.250 0.750
Pu1 Pu 0.250 0.250 0.250
```

Q: The lowest electronic total energy belongs to which entry?
A: La2NdPu3Te6